Entry 1:
Density functional theory data (PBEsol) for a relaxed RbSr2CaMo crystal.

a b c (Å): 5.006 6.074 6.074
angles (deg): 90.00 90.00 90.00
Site moments in Bohr magnetons follow the coordinates.
Atoms (fractional coordinates):
Sr: 0.000 0.500 0.000  -0.06
Mo: 0.500 0.000 0.000  1.56
Rb: 0.000 0.000 0.000  0.00
Ca: 0.500 0.500 0.500  -0.05
Sr: 0.000 0.000 0.500  -0.06

## Properties
Its crystal system is tetragonal. As for the final energy: -2.237 eV per atom. For the formation energy from the elements, the calculation gives 1.485 eV/atom. The value obtained for the calculated volume is 184.7 Å³ per cell.

Entry 2:
Density functional theory data (PBEsol) for a relaxed CaReMo2 crystal.

a b c (Å): 3.128 3.128 7.383
angles (deg): 90.00 90.00 90.00
Atoms (fractional coordinates):
Re: 0.000 0.000 0.446
Mo: 0.000 0.000 0.055
Mo: 0.500 0.500 0.256
Ca: 0.500 0.500 0.743

## Properties
The value obtained for the offset from the most stable computed form is 0 meV per atom. Its crystal system is tetragonal. As for the final energy: -9.210 eV per atom. For the formation energy from the elements, the calculation gives 0.541 eV/atom. The value obtained for the calculated volume is 72.3 Å³ per cell.

Entry 3:
Density functional theory data (PBEsol) for a relaxed CaReMo2 crystal.

a b c (Å): 3.085 4.748 5.415
angles (deg): 116.00 106.55 90.00
Atoms (fractional coordinates):
Mo: 0.754 0.254 0.508
Ca: 0.249 0.749 0.498
Re: 0.479 0.479 0.958
Mo: 0.018 0.018 0.036

## Properties
The value obtained for the offset from the most stable computed form is 93 meV per atom. Its crystal system is orthorhombic. As for the final energy: -9.117 eV per atom. For the formation energy from the elements, the calculation gives 0.633 eV/atom. The value obtained for the calculated volume is 67.6 Å³ per cell.